An optimized crystal structure of LaPm7Dy12, computed with GGA-PBE.

## Properties
The total DFT energy (no corrections) is -4.0437 eV per atom. As for the energy above the lowest structure with this stoichiometry: 38.4 kJ per mole of atoms. As for the space group: Im-3m, No. 229. Its formation energy is 626.6 meV/atom.

abc: 9.8253 9.8253 9.8253
angles: 109.47 109.47 109.47
Closest atoms and distances in Å follow each position.
Fractional coordinates of all 20 atoms:
La (0.0000, 0.0000, 0.0000)  12 Dy 4.06
Pm (0.0000, 0.0000, 0.5000)  6 Dy 2.84
Pm (0.0000, 0.5000, 0.0000)  6 Dy 2.84
Pm (0.0000, 0.5000, 0.5000)  12 Dy 3.96-4.01
Pm (0.5000, 0.0000, 0.0000)  6 Dy 2.84
Pm (0.5000, 0.0000, 0.5000)  12 Dy 3.96-4.01
Pm (0.5000, 0.5000, 0.0000)  12 Dy 3.96-4.01
Pm (0.5000, 0.5000, 0.5000)  6 Dy 2.84
Dy (0.0000, 0.2530, 0.7470)  2 Pm 2.84
Dy (0.0000, 0.7470, 0.2530)  2 Pm 2.84
Dy (0.2530, 0.0000, 0.7470)  2 Pm 2.84
Dy (0.2530, 0.2530, 0.5060)  2 Pm 2.84
Dy (0.2530, 0.5060, 0.2530)  2 Pm 2.84
Dy (0.2530, 0.7470, 0.0000)  2 Pm 2.84
Dy (0.4940, 0.7470, 0.7470)  2 Pm 2.84
Dy (0.5060, 0.2530, 0.2530)  2 Pm 2.84
Dy (0.7470, 0.0000, 0.2530)  2 Pm 2.84
Dy (0.7470, 0.2530, 0.0000)  2 Pm 2.84
Dy (0.7470, 0.4940, 0.7470)  2 Pm 2.84
Dy (0.7470, 0.7470, 0.4940)  2 Pm 2.84